20
Lattice="6.222 -8.205 0.000 6.222 8.205 0.000 0.000 0.000 8.420" Properties=species:S:1:pos:R:3 comment="Ac6BiPb3, relaxed, DFT PBE" e_tot_ha_per_atom=-0.1608 pbc="T T T"
Ac 6.222 8.142 4.210
Ac 3.980 3.695 0.202
Ac 6.222 3.969 5.209
Ac 3.922 0.731 5.237
Ac 3.922 -0.731 1.027
Ac 8.465 3.695 0.202
Ac 3.980 -3.695 4.412
Ac 8.523 0.731 5.237
Ac 8.523 -0.731 1.027
Ac 6.222 -3.969 0.999
Ac 8.465 -3.695 4.412
Ac 6.222 -8.142 0.000
Bi 6.222 5.466 2.139
Bi 6.222 -5.466 6.349
Pb 2.176 1.787 2.348
Pb 2.176 -1.787 6.558
Pb 6.222 1.246 7.696
Pb 6.222 -1.246 3.486
Pb 10.268 1.787 2.348
Pb 10.268 -1.787 6.558

8
Lattice="5.566 0.000 0.000 -2.783 4.821 0.000 0.000 0.000 3.622" Properties=species:S:1:pos:R:3 comment="ZrBe3, relaxed, DFT PBE" e_tot_ha_per_atom=-0.1867 pbc="T T T"
Zr 0.000 3.214 0.906
Zr 2.783 1.607 2.717
Be 0.000 1.272 2.717
Be -1.682 4.185 2.717
Be 1.102 0.636 0.906
Be 1.682 4.185 2.717
Be 4.465 0.636 0.906
Be 2.783 3.549 0.906

10
Lattice="5.231 0.000 0.000 -1.470 5.885 0.000 -1.091 -2.112 6.534" Properties=species:S:1:pos:R:3 comment="LiIn4Ag5, relaxed, DFT PBE" e_tot_ha_per_atom=-0.1016 pbc="T T T"
Li 0.000 0.000 0.000
In -0.704 4.502 2.552
In 0.031 2.957 5.246
In 1.918 3.451 1.264
In 2.651 1.919 3.996
Ag -0.017 1.421 2.559
Ag 0.789 -0.111 5.258
Ag 2.649 0.586 1.305
Ag 3.471 -0.908 3.966
Ag 4.511 2.743 0.009

4
Lattice="1.447 -2.349 0.000 1.447 2.349 0.000 0.000 0.000 9.120" Properties=species:S:1:pos:R:3 comment="Tc2RhSe, relaxed, DFT PBE" raw_formation_energy_mev_per_atom=428 e_tot_ha_per_atom=-0.2743 pbc="T T T"
Tc 0.000 0.000 0.000
Tc 1.447 0.000 2.148
Rh 1.447 0.000 6.846
Se 0.000 0.000 4.506